CePuCoAu: optimized geometry, PBE.

Computed properties:
Magnetic moment ... 1.431 μB per atom
Space group ... F-43m
Calculated formation energy ... -168 meV per atom
Total DFT energy (no corrections) ... -125.3 eV/cell

abc: 7.058 7.058 7.058
angles: 90.00 90.00 90.00
Sites, in units of the cell vectors:
Ce  0.000  0.000  0.000
Ce  0.000  0.500  0.500
Ce  0.500  0.000  0.500
Ce  0.500  0.500  0.000
Pu  0.000  0.000  0.500
Pu  0.000  0.500  0.000
Pu  0.500  0.000  0.000
Pu  0.500  0.500  0.500
Co  0.250  0.250  0.750
Co  0.250  0.750  0.250
Co  0.750  0.250  0.250
Co  0.750  0.750  0.750
Au  0.250  0.250  0.250
Au  0.250  0.750  0.750
Au  0.750  0.250  0.750
Au  0.750  0.750  0.250

---

CeScCoAu: optimized geometry, PBE.

Computed properties:
Magnetic moment ... 0.060 μB per atom
Space group ... F-43m
Calculated formation energy ... -324 meV per atom
Total DFT energy (no corrections) ... -95.8 eV/cell

abc: 6.871 6.871 6.871
angles: 90.00 90.00 90.00
Sites, in units of the cell vectors:
Ce  0.000  0.000  0.000
Ce  0.000  0.500  0.500
Ce  0.500  0.000  0.500
Ce  0.500  0.500  0.000
Sc  0.000  0.000  0.500
Sc  0.000  0.500  0.000
Sc  0.500  0.000  0.000
Sc  0.500  0.500  0.500
Co  0.250  0.250  0.250
Co  0.250  0.750  0.750
Co  0.750  0.250  0.750
Co  0.750  0.750  0.250
Au  0.250  0.250  0.750
Au  0.250  0.750  0.250
Au  0.750  0.250  0.250
Au  0.750  0.750  0.750